U2HgBr7: optimized geometry, GGA-PBE.

The structure in extended XYZ format:
```
10
Lattice="5.7661 0.0000 0.0000 0.0000 7.7393 -4.0204 0.0000 -0.0964 8.7207" Properties=species:S:1:pos:R:3 pbc="T T T"
Br 2.8831 2.5518 -0.9191
Br 2.8831 0.3310 2.6920
Br 0.0000 5.3618 -0.1546
U 2.8831 2.2712 4.8708
Br 2.8831 3.8214 2.3502
Br 2.8831 5.0910 5.6194
Br 2.8831 7.3118 2.0083
Br 0.0000 2.2811 4.8549
U 2.8830 5.3716 -0.1705
Hg 0.0000 0.0000 0.0000
```

Magnetization, μB/cell: 5.00
Energy, eV/atom: -4.575